VASP calculation (PBE) on a relaxed structure of Ca2BI.

POSCAR file:
```
Ca2BI
1.0
-6.7818 2.9673 1.8360
-2.9764 -7.0138 0.3414
-3.8610 -2.2541 5.2227
B Ca I
2 4 2
Direct
0.2500 0.7500 0.5000 B
0.5000 0.5000 0.0000 B
0.3750 0.4476 0.7500 Ca
0.8750 0.8024 0.7500 Ca
0.1976 0.6250 0.2500 Ca
0.5524 0.1250 0.2500 Ca
0.0000 0.0000 0.0000 I
0.7500 0.2500 0.5000 I
```

Properties
Total energy = -3.07 eV per atom
Energy above the most stable polymorph in this dataset = 0 meV/atom
Energy relative to the elements, uncorrected = -0.0140 eV per atom
Volume = 31.00 Å³/atom

***

VASP calculation (PBE) on a relaxed structure of Al2OsRu.

POSCAR file:
```
Al2OsRu
1.0
-1.7324 -1.2405 2.2737
-0.9214 -2.2613 -1.9357
4.5035 -3.2530 1.6565
Al Ru Os
2 1 1
Direct
0.0000 0.0000 0.9916 Al
0.5000 0.5000 0.2581 Al
0.5000 0.5000 0.7790 Ru
0.0000 0.0000 0.4713 Os
```

Properties
Energy of formation = -0.288 eV/atom
Total energy = -7.29 eV per atom
Volume = 14.07 Å³/atom

***

VASP calculation (PBE) on a relaxed structure of KNpZnS3.

POSCAR file:
```
KNpZnS3
1.0
4.0277 0.0000 0.0000
0.0000 8.7788 -0.1781
0.0000 -2.5074 9.1547
S Np K Zn
6 2 2 2
Direct
0.7500 0.1931 0.5310 S
0.2500 0.8069 0.4690 S
0.2500 0.5424 0.8492 S
0.7500 0.4576 0.1508 S
0.7500 0.8866 0.1437 S
0.2500 0.1134 0.8563 S
0.2500 0.6678 0.1462 Np
0.7500 0.3322 0.8538 Np
0.2500 0.2011 0.2259 K
0.7500 0.7989 0.7741 K
0.7500 0.9138 0.3930 Zn
0.2500 0.0862 0.6070 Zn
```

Properties
Total energy = -5.77 eV per atom
Energy relative to the elements, uncorrected = -1.1510 eV per atom
Volume = 26.82 Å³/atom

***

VASP calculation (PBE) on a relaxed structure of HgMo2.

POSCAR file:
```
HgMo2
1.0
-2.7427 -0.8063 -0.7163
1.3176 -1.1870 2.3538
-5.1513 10.3325 8.0940
Mo Hg
4 2
Direct
0.0000 0.0000 0.5000 Mo
0.6667 0.3333 0.6496 Mo
0.6667 0.3333 0.0000 Mo
0.6667 0.3333 0.3504 Mo
0.0000 0.0000 0.1741 Hg
0.0000 0.0000 0.8259 Hg
```

Properties
Energy of formation = 0.584 eV/atom
Total energy = -6.74 eV per atom
Energy above the most stable polymorph in this dataset = 180 meV/atom
Volume = 17.68 Å³/atom